No. 1
Here is a relaxed Np2Tl2Cl7 crystal from Alexandria via LeMat-Bulk. Energies are from PBE.

Cell and atoms, written as CIF:
```
data_Np2Tl2Cl7
_space_group_name_H-M_alt 'P 1'
_space_group_IT_number 1
_space_group_name_Hall 'P 1'
_cell_length_a 7.430
_cell_length_b 6.834
_cell_length_c 6.834
_cell_angle_alpha 80.91
_cell_angle_beta 90.03
_cell_angle_gamma 90.03
loop_
_atom_site_label
_atom_site_type_symbol
_atom_site_fract_x
_atom_site_fract_y
_atom_site_fract_z
Np1 Np 0.000 0.720 0.720
Np2 Np 0.000 0.280 0.280
Tl1 Tl 0.500 0.782 0.218
Tl2 Tl 0.500 0.218 0.782
Cl1 Cl 0.237 0.000 0.500
Cl2 Cl 0.763 0.500 0.000
Cl3 Cl 0.763 0.000 0.500
Cl4 Cl 0.237 0.500 0.000
Cl5 Cl 0.000 0.000 0.000
Cl6 Cl 0.769 0.500 0.500
Cl7 Cl 0.231 0.500 0.500
```

Output
Final energy = -5.351 eV per atom
Formation energy (no corrections) = -1478.1 kJ/mol of formula units
Total magnetization = 9.0 μB/cell

No. 2
Here is a relaxed In2Cu2Pt crystal from Alexandria via LeMat-Bulk. Energies are from PBE.

Cell and atoms, written as CIF:
```
data_In2Cu2Pt
_space_group_name_H-M_alt 'P 1'
_space_group_IT_number 1
_space_group_name_Hall 'P 1'
_cell_length_a 3.388
_cell_length_b 3.388
_cell_length_c 8.039
_cell_angle_alpha 77.83
_cell_angle_beta 77.83
_cell_angle_gamma 90.00
loop_
_atom_site_label
_atom_site_type_symbol
_atom_site_fract_x
_atom_site_fract_y
_atom_site_fract_z
Cu1 Cu 0.750 0.250 0.500
Cu2 Cu 0.250 0.750 0.500
Pt1 Pt 0.000 0.000 0.000
In1 In 0.396 0.396 0.208
In2 In 0.604 0.604 0.792
```

Output
Final energy = -4.032 eV per atom
Energy above the lowest structure with this stoichiometry = 0.000 eV/atom
Total magnetization = 0.0 μB/cell

No. 3
Here is a relaxed Y2Mg3Cu crystal from Alexandria via LeMat-Bulk. Energies are from PBE.

Cell and atoms, written as CIF:
```
data_Y2Mg3Cu
_space_group_name_H-M_alt 'P 1'
_space_group_IT_number 1
_space_group_name_Hall 'P 1'
_cell_length_a 5.940
_cell_length_b 5.940
_cell_length_c 9.195
_cell_angle_alpha 90.00
_cell_angle_beta 90.00
_cell_angle_gamma 120.00
loop_
_atom_site_label
_atom_site_type_symbol
_atom_site_fract_x
_atom_site_fract_y
_atom_site_fract_z
Cu1 Cu 0.000 0.000 0.000
Cu2 Cu 0.000 0.000 0.500
Mg1 Mg 0.672 0.836 0.250
Mg2 Mg 0.164 0.836 0.250
Mg3 Mg 0.164 0.328 0.250
Mg4 Mg 0.328 0.164 0.750
Mg5 Mg 0.836 0.164 0.750
Mg6 Mg 0.836 0.672 0.750
Y1 Y 0.667 0.333 0.061
Y2 Y 0.333 0.667 0.561
Y3 Y 0.333 0.667 0.939
Y4 Y 0.667 0.333 0.439
```

Output
Final energy = -3.711 eV per atom
Energy above the lowest structure with this stoichiometry = 0.011 eV/atom
Total magnetization = 0.0 μB/cell

Q: Which formula does entry 1 have?
A: Np2Tl2Cl7